Record 1
NaMg4Pb7 after structural relaxation. Source: Alexandria via LeMat-Bulk, functional PBE.

abc: 14.4277 5.6173 10.8384
angles: 90.00 126.21 90.00
Space group C2/m (No. 12)
Inequivalent atoms, fractional coordinates:
Na1 0.0000 0.0000 0.0000 (multiplicity 2)
Mg1 0.0642 0.5000 0.7784 (multiplicity 4)
Mg2 0.1972 0.5000 0.3328 (multiplicity 4)
Pb1 0.0000 0.5000 0.0000 (multiplicity 2)
Pb2 0.0760 0.0000 0.3487 (multiplicity 4)
Pb3 0.1591 0.5000 0.5947 (multiplicity 4)
Pb4 0.2169 0.0000 0.8746 (multiplicity 4)

The calculation puts the density of states at the Fermi level at 5.61 states/eV/f.u. The calculation puts the formation energy at 0.0208 eV/atom. Its density is 7.36 g/cm³. The calculation puts the total magnetic moment at 0.0 μB per formula unit.

Record 2
NaMg15Pb4 after structural relaxation. Source: Alexandria via LeMat-Bulk, functional PBE.

abc: 4.8057 4.8057 21.0397
angles: 90.00 90.00 90.00
Space group P4/mmm (No. 123)
Inequivalent atoms, fractional coordinates:
Na1 0.0000 0.0000 0.0000 (multiplicity 1)
Mg1 0.0000 0.5000 0.1007 (multiplicity 4)
Mg2 0.0000 0.5000 0.2995 (multiplicity 4)
Mg3 0.0000 0.5000 0.5000 (multiplicity 2)
Mg4 0.5000 0.5000 0.0000 (multiplicity 1)
Mg5 0.5000 0.5000 0.2010 (multiplicity 2)
Mg6 0.5000 0.5000 0.3994 (multiplicity 2)
Pb1 0.0000 0.0000 0.1972 (multiplicity 2)
Pb2 0.0000 0.0000 0.3986 (multiplicity 2)

The calculation puts the density of states at the Fermi level at 6.28 states/eV/f.u. The calculation puts the formation energy at -0.0195 eV/atom. Its density is 4.16 g/cm³. The calculation puts the total magnetic moment at 0.0 μB per formula unit.

Record 3
Na3MgPb12 after structural relaxation. Source: Alexandria via LeMat-Bulk, functional PBE.

abc: 4.8570 4.8570 20.1316
angles: 90.00 90.00 90.00
Space group P4/mmm (No. 123)
Inequivalent atoms, fractional coordinates:
Na1 0.0000 0.0000 0.0000 (multiplicity 1)
Na2 0.0000 0.0000 0.2507 (multiplicity 2)
Mg1 0.0000 0.0000 0.5000 (multiplicity 1)
Pb1 0.0000 0.5000 0.1261 (multiplicity 4)
Pb2 0.0000 0.5000 0.3777 (multiplicity 4)
Pb3 0.5000 0.5000 0.0000 (multiplicity 1)
Pb4 0.5000 0.5000 0.2504 (multiplicity 2)
Pb5 0.5000 0.5000 0.5000 (multiplicity 1)

The calculation puts the density of states at the Fermi level at 6.81 states/eV/f.u. The calculation puts the formation energy at -0.0876 eV/atom. Its density is 9.02 g/cm³. The calculation puts the total magnetic moment at 0.0 μB per formula unit.

Record 4
Na2MgPb2 after structural relaxation. Source: Alexandria via LeMat-Bulk, functional PBE.

abc: 8.5747 8.5747 3.8421
angles: 90.00 90.00 90.00
Space group P4/mbm (No. 127)
Inequivalent atoms, fractional coordinates:
Na1 0.1268 0.3732 0.0000 (multiplicity 4)
Mg1 0.0000 0.0000 0.0000 (multiplicity 2)
Pb1 0.1739 0.6739 0.5000 (multiplicity 4)

The calculation puts the density of states at the Fermi level at 4.04 states/eV/f.u. The calculation puts the relative energy among the computed polymorphs at 150 meV per atom. The calculation puts the formation energy at 0.0472 eV/atom. Its density is 5.70 g/cm³. The calculation puts the total magnetic moment at 0.0 μB per formula unit.

Record 5
Na3Mg7Pb4 after structural relaxation. Source: Alexandria via LeMat-Bulk, functional PBE.

abc: 17.4393 4.8540 11.2633
angles: 90.00 126.28 90.00
Space group C2/m (No. 12)
Inequivalent atoms, fractional coordinates:
Na1 0.0000 0.0000 0.0000 (multiplicity 2)
Na2 0.1963 0.5000 0.7029 (multiplicity 4)
Mg1 0.0000 0.0000 0.5000 (multiplicity 2)
Mg2 0.0131 0.5000 0.3224 (multiplicity 4)
Mg3 0.1639 0.0000 0.4248 (multiplicity 4)
Mg4 0.1721 0.5000 0.0151 (multiplicity 4)
Pb1 0.1132 0.0000 0.8256 (multiplicity 4)
Pb2 0.1595 0.5000 0.2625 (multiplicity 4)

The calculation puts the density of states at the Fermi level at 4.19 states/eV/f.u. The calculation puts the formation energy at -0.0659 eV/atom. Its density is 4.61 g/cm³. The calculation puts the total magnetic moment at 0.0 μB per formula unit.

Record 6
Na2MgPb8 after structural relaxation. Source: Alexandria via LeMat-Bulk, functional PBE.

abc: 4.9377 4.9377 13.5680
angles: 90.00 90.00 90.00
Space group P4/mmm (No. 123)
Inequivalent atoms, fractional coordinates:
Na1 0.0000 0.0000 0.1814 (multiplicity 2)
Mg1 0.0000 0.0000 0.5000 (multiplicity 1)
Pb1 0.0000 0.5000 0.0000 (multiplicity 2)
Pb2 0.0000 0.5000 0.3613 (multiplicity 4)
Pb3 0.5000 0.5000 0.1829 (multiplicity 2)

The calculation puts the density of states at the Fermi level at 4.59 states/eV/f.u. The calculation puts the relative energy among the computed polymorphs at 0 meV per atom. The calculation puts the formation energy at -0.0795 eV/atom. Its density is 8.67 g/cm³. The calculation puts the total magnetic moment at 0.0 μB per formula unit.

Record 7
NaMg2Pb after structural relaxation. Source: Alexandria via LeMat-Bulk, functional PBE.

abc: 4.4285 4.4285 11.4835
angles: 90.00 90.00 90.00
Space group P4/nmm (No. 129, origin choice 2)
Inequivalent atoms, fractional coordinates:
Na1 0.2500 0.2500 0.2343 (multiplicity 2)
Mg1 0.2500 0.2500 0.9446 (multiplicity 2)
Mg2 0.2500 0.7500 0.5000 (multiplicity 2)
Pb1 0.2500 0.2500 0.6796 (multiplicity 2)

The calculation puts the density of states at the Fermi level at 2.29 states/eV/f.u. The calculation puts the formation energy at -0.0149 eV/atom. Its density is 4.11 g/cm³. The calculation puts the total magnetic moment at 0.0 μB per formula unit.

Record 8
NaMg3Pb3 after structural relaxation. Source: Alexandria via LeMat-Bulk, functional PBE.

abc: 9.0328 9.0328 5.3033
angles: 90.00 90.00 120.00
Space group P6_3/m (No. 176)
Inequivalent atoms, fractional coordinates:
Na1 0.3333 0.6667 0.2500 (multiplicity 2)
Mg1 0.0387 0.2237 0.2500 (multiplicity 6)
Pb1 0.0853 0.4459 0.7500 (multiplicity 6)

The calculation puts the density of states at the Fermi level at 2.77 states/eV/f.u. The calculation puts the relative energy among the computed polymorphs at 0 meV per atom. The calculation puts the formation energy at -0.0614 eV/atom. Its density is 6.36 g/cm³. The calculation puts the total magnetic moment at 0.0 μB per formula unit.

Record 9
NaMg4Pb8 after structural relaxation. Source: Alexandria via LeMat-Bulk, functional PBE.

abc: 10.9731 10.9731 6.3019
angles: 90.00 90.00 90.00
Space group I4/mmm (No. 139)
Inequivalent atoms, fractional coordinates:
Na1 0.0000 0.0000 0.0000 (multiplicity 2)
Mg1 0.2500 0.2500 0.2500 (multiplicity 8)
Pb1 0.0000 0.2163 0.5000 (multiplicity 8)
Pb2 0.0000 0.3426 0.0000 (multiplicity 8)

The calculation puts the density of states at the Fermi level at 5.31 states/eV/f.u. The calculation puts the relative energy among the computed polymorphs at 0 meV per atom. The calculation puts the formation energy at -0.0372 eV/atom. Its density is 7.78 g/cm³. The calculation puts the total magnetic moment at 0.0 μB per formula unit.

Record 10
Na2MgPb4 after structural relaxation. Source: Alexandria via LeMat-Bulk, functional PBE.

abc: 5.0408 5.0408 16.2386
angles: 90.00 90.00 90.00
Space group I4/mmm (No. 139)
Inequivalent atoms, fractional coordinates:
Na1 0.0000 0.0000 0.2487 (multiplicity 4)
Mg1 0.0000 0.0000 0.0000 (multiplicity 2)
Pb1 0.0000 0.5000 0.1082 (multiplicity 8)

The calculation puts the density of states at the Fermi level at 2.85 states/eV/f.u. The calculation puts the relative energy among the computed polymorphs at 0 meV per atom. The calculation puts the formation energy at -0.0726 eV/atom. Its density is 7.24 g/cm³. The calculation puts the total magnetic moment at 0.0 μB per formula unit.

Record 11
NaMgPb4 after structural relaxation. Source: Alexandria via LeMat-Bulk, functional PBE.

abc: 9.2376 9.2376 9.2376
angles: 90.00 90.00 90.00
Space group F-43m (No. 216)
Inequivalent atoms, fractional coordinates:
Na1 0.0000 0.0000 0.0000 (multiplicity 4)
Mg1 0.2500 0.2500 0.7500 (multiplicity 4)
Pb1 0.1248 0.1248 0.3752 (multiplicity 16)

The calculation puts the density of states at the Fermi level at 5.46 states/eV/f.u. The calculation puts the relative energy among the computed polymorphs at 121 meV per atom. The calculation puts the formation energy at 0.0824 eV/atom. Its density is 7.38 g/cm³. The calculation puts the total magnetic moment at 0.0 μB per formula unit.